No. 1
A relaxed structure of AcPmMg2Cd4, computed with GGA-PBE.

E_form ... -0.297 eV/atom

```
data_AcPmMg2Cd4
_cell_length_a 5.2734
_cell_length_b 5.2734
_cell_length_c 26.0906
_cell_angle_alpha 90.00
_cell_angle_beta 90.00
_cell_angle_gamma 120.00
_space_group_name_H-M_alt 'R -3 m'
_space_group_IT_number 166
_space_group_name_Hall '-R 3 2"'
loop_
_atom_site_label
_atom_site_type_symbol
_atom_site_fract_x
_atom_site_fract_y
_atom_site_fract_z
Ac1 Ac 0.0000 0.0000 0.0000
Pm1 Pm 0.0000 0.0000 0.5000
Mg1 Mg 0.0000 0.0000 0.2482
Cd1 Cd 0.0000 0.0000 0.1287
Cd2 Cd 0.0000 0.0000 0.3801
```

No. 2
A relaxed structure of AcPrMgCd, computed with GGA-PBE.

E_form ... -0.197 eV/atom
ΔE to the lowest computed polymorph ... 0 meV/atom

```
data_AcPrMgCd
_cell_length_a 4.000
_cell_length_b 4.000
_cell_length_c 7.985
_cell_angle_alpha 90.00
_cell_angle_beta 90.00
_cell_angle_gamma 90.00
_space_group_name_H-M_alt 'P 4 m m'
_space_group_IT_number 99
loop_
_space_group_symop_operation_xyz
'x,y,z'
'-y,x,z'
'-x,-y,z'
'y,-x,z'
'-x,y,z'
'y,x,z'
'x,-y,z'
'-y,-x,z'
loop_
_atom_site_label
_atom_site_type_symbol
_atom_site_fract_x
_atom_site_fract_y
_atom_site_fract_z
Ac1 Ac 0.000 0.000 0.000
Pr1 Pr 0.000 0.000 0.498
Mg1 Mg 0.500 0.500 0.729
Cd1 Cd 0.500 0.500 0.273
```

No. 3
A relaxed structure of AcPrMgCd, computed with GGA-PBE.

E_form ... -0.184 eV/atom
ΔE to the lowest computed polymorph ... 13 meV/atom

```
data_AcPrMgCd
_cell_length_a 7.991
_cell_length_b 7.991
_cell_length_c 7.991
_cell_angle_alpha 90.00
_cell_angle_beta 90.00
_cell_angle_gamma 90.00
_space_group_name_H-M_alt 'F -4 3 m'
_space_group_IT_number 216
_space_group_name_Hall 'F -4 2 3'
loop_
_atom_site_label
_atom_site_type_symbol
_atom_site_fract_x
_atom_site_fract_y
_atom_site_fract_z
Ac1 Ac 0.000 0.000 0.000
Pr1 Pr 0.000 0.000 0.500
Mg1 Mg 0.250 0.250 0.750
Cd1 Cd 0.250 0.250 0.250
```

No. 4
A relaxed structure of AcPrMg2Cd4, computed with GGA-PBE.

E_form ... -0.299 eV/atom

```
data_AcPrMg2Cd4
_cell_length_a 5.3029
_cell_length_b 5.3029
_cell_length_c 26.1427
_cell_angle_alpha 90.00
_cell_angle_beta 90.00
_cell_angle_gamma 120.00
_space_group_name_H-M_alt 'R -3 m'
_space_group_IT_number 166
_space_group_name_Hall '-R 3 2"'
loop_
_atom_site_label
_atom_site_type_symbol
_atom_site_fract_x
_atom_site_fract_y
_atom_site_fract_z
Ac1 Ac 0.0000 0.0000 0.0000
Pr1 Pr 0.0000 0.0000 0.5000
Mg1 Mg 0.0000 0.0000 0.2486
Cd1 Cd 0.0000 0.0000 0.1280
Cd2 Cd 0.0000 0.0000 0.3788
```

No. 5
A relaxed structure of AcMgCdPt, computed with GGA-PBE.

E_form ... -0.491 eV/atom

```
data_AcMgCdPt
_cell_length_a 7.362
_cell_length_b 7.362
_cell_length_c 7.362
_cell_angle_alpha 90.00
_cell_angle_beta 90.00
_cell_angle_gamma 90.00
_space_group_name_H-M_alt 'F -4 3 m'
_space_group_IT_number 216
_space_group_name_Hall 'F -4 2 3'
loop_
_atom_site_label
_atom_site_type_symbol
_atom_site_fract_x
_atom_site_fract_y
_atom_site_fract_z
Ac1 Ac 0.000 0.000 0.000
Mg1 Mg 0.000 0.000 0.500
Cd1 Cd 0.250 0.250 0.250
Pt1 Pt 0.250 0.250 0.750
```

No. 6
A relaxed structure of Ac2MgCdPt, computed with GGA-PBE.

E_form ... -0.601 eV/atom

```
data_Ac2MgCdPt
_cell_length_a 8.196
_cell_length_b 4.766
_cell_length_c 8.235
_cell_angle_alpha 90.00
_cell_angle_beta 110.59
_cell_angle_gamma 90.00
_space_group_name_H-M_alt 'P 1 21/m 1'
_space_group_IT_number 11
loop_
_space_group_symop_operation_xyz
'x,y,z'
'-x,-y,-z'
'-x,y+1/2,-z'
'x,-y+1/2,z'
loop_
_atom_site_label
_atom_site_type_symbol
_atom_site_fract_x
_atom_site_fract_y
_atom_site_fract_z
Ac1 Ac 0.101 0.250 0.333
Ac2 Ac 0.287 0.250 0.963
Mg1 Mg 0.441 0.750 0.339
Cd1 Cd 0.332 0.750 0.659
Pt1 Pt 0.114 0.750 0.091
```

No. 7
A relaxed structure of Ac2MgCd2Pt5, computed with GGA-PBE.

E_form ... -0.585 eV/atom

```
data_Ac2MgCd2Pt5
_cell_length_a 10.657
_cell_length_b 10.657
_cell_length_c 3.810
_cell_angle_alpha 90.00
_cell_angle_beta 90.00
_cell_angle_gamma 90.00
_space_group_name_H-M_alt 'P 4/m b m'
_space_group_IT_number 127
_space_group_name_Hall '-P 4 2ab'
loop_
_atom_site_label
_atom_site_type_symbol
_atom_site_fract_x
_atom_site_fract_y
_atom_site_fract_z
Ac1 Ac 0.173 0.327 0.000
Mg1 Mg 0.000 0.000 0.000
Cd1 Cd 0.128 0.628 0.000
Pt1 Pt 0.000 0.500 0.500
Pt2 Pt 0.047 0.808 0.500
```

No. 8
A relaxed structure of AcPuMgCd, computed with GGA-PBE.

E_form ... 0.032 eV/atom

```
data_AcPuMgCd
_cell_length_a 7.918
_cell_length_b 7.918
_cell_length_c 7.918
_cell_angle_alpha 90.00
_cell_angle_beta 90.00
_cell_angle_gamma 90.00
_space_group_name_H-M_alt 'F -4 3 m'
_space_group_IT_number 216
_space_group_name_Hall 'F -4 2 3'
loop_
_atom_site_label
_atom_site_type_symbol
_atom_site_fract_x
_atom_site_fract_y
_atom_site_fract_z
Ac1 Ac 0.000 0.000 0.000
Pu1 Pu 0.000 0.000 0.500
Mg1 Mg 0.250 0.250 0.250
Cd1 Cd 0.250 0.250 0.750
```

No. 9
A relaxed structure of AcMg2ScCd4, computed with GGA-PBE.

E_form ... -0.243 eV/atom

```
data_AcMg2ScCd4
_cell_length_a 5.0707
_cell_length_b 5.0707
_cell_length_c 26.6804
_cell_angle_alpha 90.00
_cell_angle_beta 90.00
_cell_angle_gamma 120.00
_space_group_name_H-M_alt 'R -3 m'
_space_group_IT_number 166
_space_group_name_Hall '-R 3 2"'
loop_
_atom_site_label
_atom_site_type_symbol
_atom_site_fract_x
_atom_site_fract_y
_atom_site_fract_z
Ac1 Ac 0.0000 0.0000 0.0000
Mg1 Mg 0.0000 0.0000 0.2436
Sc1 Sc 0.0000 0.0000 0.5000
Cd1 Cd 0.0000 0.0000 0.1298
Cd2 Cd 0.0000 0.0000 0.3903
```

No. 10
A relaxed structure of Ac2Mg3ScCd12, computed with GGA-PBE.

E_form ... -0.025 eV/atom

```
data_Ac2Mg3ScCd12
_cell_length_a 10.7064
_cell_length_b 10.7064
_cell_length_c 14.5316
_cell_angle_alpha 90.00
_cell_angle_beta 90.00
_cell_angle_gamma 120.00
_space_group_name_H-M_alt 'R -3 m'
_space_group_IT_number 166
_space_group_name_Hall '-R 3 2"'
loop_
_atom_site_label
_atom_site_type_symbol
_atom_site_fract_x
_atom_site_fract_y
_atom_site_fract_z
Ac1 Ac 0.0000 0.0000 0.2091
Mg1 Mg 0.0000 0.5000 0.0000
Sc1 Sc 0.0000 0.0000 0.5000
Cd1 Cd 0.0185 0.5093 0.2075
Cd2 Cd 0.0371 0.5185 0.6004
```

No. 11
A relaxed structure of AcMgCdSi, computed with GGA-PBE.

ΔE_f (raw) ... -59 kJ/mol of formula units

```
data_AcMgCdSi
_cell_length_a 7.468
_cell_length_b 7.468
_cell_length_c 7.468
_cell_angle_alpha 90.00
_cell_angle_beta 90.00
_cell_angle_gamma 90.00
_space_group_name_H-M_alt 'F -4 3 m'
_space_group_IT_number 216
_space_group_name_Hall 'F -4 2 3'
loop_
_atom_site_label
_atom_site_type_symbol
_atom_site_fract_x
_atom_site_fract_y
_atom_site_fract_z
Ac1 Ac 0.000 0.000 0.000
Mg1 Mg 0.000 0.000 0.500
Cd1 Cd 0.250 0.250 0.250
Si1 Si 0.250 0.250 0.750
```

No. 12
A relaxed structure of AcSmMg2Cd4, computed with GGA-PBE.

E_form ... -0.294 eV/atom

```
data_AcSmMg2Cd4
_cell_length_a 5.2629
_cell_length_b 5.2629
_cell_length_c 26.0869
_cell_angle_alpha 90.00
_cell_angle_beta 90.00
_cell_angle_gamma 120.00
_space_group_name_H-M_alt 'R -3 m'
_space_group_IT_number 166
_space_group_name_Hall '-R 3 2"'
loop_
_atom_site_label
_atom_site_type_symbol
_atom_site_fract_x
_atom_site_fract_y
_atom_site_fract_z
Ac1 Ac 0.0000 0.0000 0.0000
Sm1 Sm 0.0000 0.0000 0.5000
Mg1 Mg 0.0000 0.0000 0.2480
Cd1 Cd 0.0000 0.0000 0.1289
Cd2 Cd 0.0000 0.0000 0.3806
```

Calculated calculated total energy (eV per atom), listed in the same order as above: -2.260 -3.046 -3.034 -2.266 -3.655 -3.954 -4.770 -5.205 -2.404 -1.709 -3.162 -2.253
Calculated N(E_F) (states/eV/f.u.), listed in the same order as above: 2.990 5.239 4.077 2.953 2.070 4.677 4.742 13.100 3.306 11.396 4.167 3.035
Calculated volume (Å³ per cell), listed in the same order as above: 628 128 510 637 399 301 433 496 594 1443 416 626